A plane-wave DFT calculation with PBE with a Hubbard U was carried out for MnCoBrF after structural relaxation.

a = 3.5000 Å, b = 4.0536 Å, c = 6.1919 Å
α = 103.01°, β = 105.65°, γ = 90.23°
Last column: nearest neighbours and their distance in Å.
Positions (direct):
Mn (0.0000, 0.0000, 0.0000)  2 F 2.10
Co (0.6493, 0.4467, 0.2965)  1 F 2.31, 2 Br 2.53-2.55
Br (0.7941, 0.0398, 0.5604)  2 Co 2.53-2.55, 1 Mn 2.66
F (0.4957, 0.7133, 0.9939)  2 Mn 2.10, 1 Co 2.31

Output
Symmetry: No. 1
Excess energy over the best structure of this formula in the dataset: 0.335 eV per formula unit
Raw total energy: -4.651 eV per atom